Entry 1:
The following is a DFT calculation (PBE) of a relaxed RbPbW3 crystal.

Output
The value obtained for the size of the total moment is 0.00 Bohr magnetons per cell. For the density of states at the Fermi level, the calculation gives 1.525 states/eV per atom. The crystal system is cubic. The formation enthalpy at 0 K is 19.26 eV/f.u. The energy relative to the lowest polymorph listed for this composition is 626 meV per atom.

Cell and atoms, written as extended XYZ:
```
5
Lattice="4.828 0.000 0.000 0.000 4.828 0.000 0.000 0.000 4.828" Properties=species:S:1:pos:R:3 pbc="T T T"
Pb 2.414 2.414 2.414
Rb 0.000 0.000 0.000
W 0.000 2.414 0.000
W 0.000 0.000 2.414
W 2.414 0.000 0.000
```

---

Entry 2:
The following is a DFT calculation (PBE) of a relaxed RbPbW3 crystal.

Output
The value obtained for the size of the total moment is 1.85 Bohr magnetons per cell. For the density of states at the Fermi level, the calculation gives 1.442 states/eV per atom. The crystal system is cubic. The formation enthalpy at 0 K is 16.13 eV/f.u. The energy relative to the lowest polymorph listed for this composition is 0 meV per atom.

Cell and atoms, written as extended XYZ:
```
5
Lattice="5.208 0.000 0.000 0.000 5.208 0.000 0.000 0.000 5.208" Properties=species:S:1:pos:R:3 pbc="T T T"
Pb 0.000 0.000 0.000
Rb 2.604 2.604 2.604
W 0.000 2.604 0.000
W 0.000 0.000 2.604
W 2.604 0.000 0.000
```

---

Entry 3:
The following is a DFT calculation (PBE) of a relaxed RbPbW2 crystal.

Output
The value obtained for the size of the total moment is 0.00 Bohr magnetons per cell. For the density of states at the Fermi level, the calculation gives 1.277 states/eV per atom. The crystal system is tetragonal. The formation enthalpy at 0 K is 9.47 eV/f.u.

Cell and atoms, written as extended XYZ:
```
8
Lattice="8.565 0.000 0.000 0.000 8.565 0.000 4.283 4.283 2.814" Properties=species:S:1:pos:R:3 pbc="T T T"
Pb 0.000 0.000 0.000
Pb 8.565 4.283 1.407
Rb 4.283 4.283 0.000
Rb 4.283 8.565 1.407
W 6.821 2.141 0.703
W 1.744 6.424 0.703
W 6.424 6.027 2.110
W 10.706 11.104 2.110
```

---

Entry 4:
The following is a DFT calculation (PBE) of a relaxed RbZrPbW2 crystal.

Output
The value obtained for the size of the total moment is 0.34 Bohr magnetons per cell. For the density of states at the Fermi level, the calculation gives 1.335 states/eV per atom. The crystal system is tetragonal. The formation enthalpy at 0 K is 10.80 eV/f.u.

Cell and atoms, written as extended XYZ:
```
5
Lattice="-3.932 -1.724 -2.511 3.187 -4.597 -1.836 -1.423 -2.586 4.004" Properties=species:S:1:pos:R:3 pbc="T T T"
Pb -1.084 -4.453 -0.172
Rb 1.594 -2.299 -0.918
Zr 0.000 0.000 0.000
W -0.712 -1.293 2.002
W -1.966 -0.862 -1.256
```